ThSnHgAu | PBE | relaxed

```
ThSnHgAu
1.0
7.322 0.000 0.000
0.000 7.322 0.000
0.000 0.000 7.322
Th Sn Hg Au
4 4 4 4
Direct
0.000 0.000 0.000
0.000 0.500 0.500
0.500 0.000 0.500
0.500 0.500 0.000
0.000 0.000 0.500
0.000 0.500 0.000
0.500 0.000 0.000
0.500 0.500 0.500
0.250 0.250 0.750
0.250 0.750 0.250
0.750 0.250 0.250
0.750 0.750 0.750
0.250 0.250 0.250
0.250 0.750 0.750
0.750 0.250 0.750
0.750 0.750 0.250
```

Properties
Fermi-level density of states in states/eV/f.u.: 2.94
Total magnetization in μB per atom: 0.000
DFT formation energy in eV/atom: -0.407
E_tot in eV per atom: -4.1578

Hf2TiPdSe | PBE | relaxed

```
Hf2TiPdSe
1.0
5.083 0.000 0.000
0.000 5.083 0.000
0.000 0.000 4.443
Hf Ti Pd Se
2 1 1 1
Direct
0.000 0.500 0.000
0.500 0.000 0.000
0.000 0.000 0.000
0.000 0.000 0.500
0.500 0.500 0.500
```

Properties
Fermi-level density of states in states/eV/f.u.: 4.86
Total magnetization in μB per atom: 0.000
E_tot in eV per atom: -6.6116

Sm2CuPb | PBE | relaxed

```
Sm2CuPb
1.0
3.594 0.000 0.000
-1.797 3.112 0.000
0.000 0.000 31.890
Sm Cu Pb
6 3 3
Direct
0.000 0.000 0.102
0.000 0.000 0.898
0.333 0.667 0.565
0.333 0.667 0.769
0.667 0.333 0.231
0.667 0.333 0.435
0.000 0.000 0.500
0.333 0.667 0.167
0.667 0.333 0.833
0.000 0.000 0.000
0.333 0.667 0.667
0.667 0.333 0.333
```

Properties
Fermi-level density of states in states/eV/f.u.: 5.02
Total magnetization in μB per atom: 0.000
DFT formation energy in eV/atom: 0.098
E_tot in eV per atom: -4.2127

K3Tl4CuI8 | PBE | relaxed

```
K3Tl4CuI8
1.0
8.668 -4.914 0.000
8.668 4.914 0.000
-5.570 0.000 8.177
K Tl Cu I
3 4 1 8
Direct
0.000 0.000 0.000
0.000 0.500 0.000
0.500 0.000 0.000
0.000 0.000 0.500
0.000 0.500 0.500
0.500 0.000 0.500
0.500 0.500 0.500
0.500 0.500 0.000
0.237 0.237 0.738
0.250 0.250 0.249
0.294 0.704 0.794
0.296 0.706 0.206
0.704 0.294 0.794
0.706 0.296 0.206
0.750 0.750 0.751
0.763 0.763 0.262
```

Properties
Total magnetization in μB per atom: 0.000
E_tot in eV per atom: -2.6628

Sc2Tc3Ru | PBE | relaxed

```
Sc2Tc3Ru
1.0
8.914 0.000 0.000
0.000 5.143 0.000
-2.984 0.000 4.436
Sc Tc Ru
4 6 2
Direct
0.126 0.000 0.376
0.374 0.500 0.624
0.626 0.500 0.376
0.874 0.000 0.624
0.000 0.500 0.000
0.250 0.250 0.000
0.250 0.750 0.000
0.500 0.000 0.000
0.750 0.250 0.000
0.750 0.750 0.000
0.000 0.500 0.500
0.500 0.000 0.500
```

Properties
Fermi-level density of states in states/eV/f.u.: 6.00
Total magnetization in μB per atom: 0.000
DFT formation energy in eV/atom: -0.291
E_tot in eV per atom: -9.1309

AlZnSi2 | PBE | relaxed

```
AlZnSi2
1.0
3.834 0.000 0.000
0.000 4.035 0.000
0.000 0.000 7.914
Al Zn Si
2 2 4
Direct
0.000 0.000 0.000
0.500 0.500 0.000
0.000 0.500 0.745
0.500 0.000 0.745
0.000 0.000 0.488
0.000 0.500 0.252
0.500 0.000 0.252
0.500 0.500 0.488
```

Properties
Fermi-level density of states in states/eV/f.u.: 1.50
Total magnetization in μB per atom: 0.000
E_tot in eV per atom: -3.6719
E above lowest polymorph in meV per atom: 73

Tb4Dy5Y | PBE | relaxed

```
Tb4Dy5Y
1.0
-5.113 5.113 3.119
5.113 -5.113 3.119
5.113 5.113 -3.119
Tb Dy Y
4 5 1
Direct
0.047 0.347 0.394
0.347 0.953 0.301
0.653 0.047 0.699
0.953 0.653 0.606
0.232 0.232 0.000
0.267 0.647 0.918
0.349 0.267 0.620
0.647 0.729 0.380
0.729 0.349 0.082
0.771 0.771 0.000
```

Properties
Fermi-level density of states in states/eV/f.u.: 14.87
Total magnetization in μB per atom: 0.000
DFT formation energy in eV/atom: 0.304
E_tot in eV per atom: -4.4956
E above lowest polymorph in meV per atom: 118

Li2InAu5 | PBE | relaxed

```
Li2InAu5
1.0
8.077 0.000 0.000
0.000 8.370 0.000
-4.018 0.000 4.142
Li In Au
4 2 10
Direct
0.250 0.250 0.000
0.250 0.750 0.000
0.750 0.250 0.000
0.750 0.750 0.000
0.000 0.000 0.500
0.500 0.500 0.500
0.000 0.000 0.000
0.000 0.500 0.000
0.000 0.500 0.500
0.250 0.250 0.500
0.250 0.750 0.500
0.500 0.000 0.000
0.500 0.000 0.500
0.500 0.500 0.000
0.750 0.250 0.500
0.750 0.750 0.500
```

Properties
Fermi-level density of states in states/eV/f.u.: 2.08
Total magnetization in μB per atom: 0.000
DFT formation energy in eV/atom: -0.369
E_tot in eV per atom: -3.2377
E above lowest polymorph in meV per atom: 12

CeSmEr2Bi4 | PBE | relaxed

```
CeSmEr2Bi4
1.0
7.806 0.000 0.000
0.000 4.521 0.000
-2.611 0.000 7.376
Ce Sm Er Bi
1 1 2 4
Direct
0.000 0.000 0.000
0.000 0.500 0.500
0.500 0.000 0.500
0.500 0.500 0.000
0.258 0.000 0.752
0.258 0.500 0.253
0.742 0.000 0.248
0.742 0.500 0.747
```

Properties
Fermi-level density of states in states/eV/f.u.: 7.07
Total magnetization in μB per atom: 0.100
DFT formation energy in eV/atom: -0.836
E_tot in eV per atom: -5.2486

ReHg2As | PBE | relaxed

```
ReHg2As
1.0
2.894 0.000 0.000
0.000 4.081 0.000
0.000 0.000 14.387
Re Hg As
2 4 2
Direct
0.000 0.000 0.000
0.500 0.500 0.500
0.000 0.500 0.317
0.000 0.500 0.683
0.500 0.000 0.183
0.500 0.000 0.817
0.000 0.000 0.500
0.500 0.500 0.000
```

Properties
Fermi-level density of states in states/eV/f.u.: 1.89
Total magnetization in μB per atom: 0.000
DFT formation energy in eV/atom: 0.462
E_tot in eV per atom: -3.9628

Ti4CoAs | PBE | relaxed

```
Ti4CoAs
1.0
7.041 -3.094 0.000
7.041 3.094 0.000
-1.820 0.000 4.897
Ti Co As
8 2 2
Direct
0.062 0.175 0.185
0.175 0.062 0.685
0.213 0.420 0.151
0.420 0.213 0.651
0.580 0.787 0.349
0.787 0.580 0.849
0.825 0.938 0.315
0.938 0.825 0.815
0.000 0.500 0.500
0.500 0.000 0.000
0.259 0.741 0.250
0.741 0.259 0.750
```

Properties
Fermi-level density of states in states/eV/f.u.: 5.22
Total magnetization in μB per atom: 0.000
DFT formation energy in eV/atom: -0.244
E_tot in eV per atom: -7.4666

Zr2FeNi | PBE | relaxed

```
Zr2FeNi
1.0
3.211 0.000 0.000
0.000 3.210 0.000
-0.015 0.000 6.376
Zr Fe Ni
2 1 1
Direct
0.001 0.000 0.255
0.999 0.000 0.745
0.500 0.500 0.500
0.500 0.500 0.000
```

Properties
Fermi-level density of states in states/eV/f.u.: 3.95
Total magnetization in μB per atom: 0.170
DFT formation energy in eV/atom: -0.266
E_tot in eV per atom: -8.1012
E above lowest polymorph in meV per atom: 2

La4SbAu | PBE | relaxed

```
La4SbAu
1.0
0.000 4.513 4.513
4.513 0.000 4.513
4.513 4.513 0.000
La Sb Au
4 1 1
Direct
0.123 0.123 0.123
0.123 0.123 0.630
0.123 0.630 0.123
0.630 0.123 0.123
0.750 0.750 0.750
0.500 0.500 0.500
```

Properties
Fermi-level density of states in states/eV/f.u.: 8.46
Total magnetization in μB per atom: 0.001
E_tot in eV per atom: -4.5397

Pa2MnTc | PBE | relaxed

```
Pa2MnTc
1.0
6.783 0.000 0.000
0.000 6.783 0.000
0.000 0.000 6.783
Pa Mn Tc
8 4 4
Direct
0.250 0.250 0.250
0.250 0.250 0.750
0.250 0.750 0.250
0.250 0.750 0.750
0.750 0.250 0.250
0.750 0.250 0.750
0.750 0.750 0.250
0.750 0.750 0.750
0.000 0.000 0.000
0.000 0.500 0.500
0.500 0.000 0.500
0.500 0.500 0.000
0.000 0.000 0.500
0.000 0.500 0.000
0.500 0.000 0.000
0.500 0.500 0.500
```

Properties
Fermi-level density of states in states/eV/f.u.: 5.07
Total magnetization in μB per atom: 0.002
DFT formation energy in eV/atom: 0.032
E_tot in eV per atom: -9.6002
E above lowest polymorph in meV per atom: 22

Li7PdAu3 | PBE | relaxed

```
Li7PdAu3
1.0
1.425 -10.492 0.000
1.425 10.492 0.000
0.000 0.000 12.175
Li Pd Au
14 2 6
Direct
0.054 0.946 0.634
0.054 0.946 0.866
0.089 0.911 0.104
0.089 0.911 0.396
0.187 0.813 0.750
0.222 0.778 0.094
0.222 0.778 0.406
0.778 0.222 0.594
0.778 0.222 0.906
0.813 0.187 0.250
0.911 0.089 0.604
0.911 0.089 0.896
0.946 0.054 0.134
0.946 0.054 0.366
0.474 0.526 0.750
0.526 0.474 0.250
0.335 0.665 0.750
0.346 0.654 0.060
0.346 0.654 0.440
0.654 0.346 0.560
0.654 0.346 0.940
0.665 0.335 0.250
```

Properties
Fermi-level density of states in states/eV/f.u.: 2.59
Total magnetization in μB per atom: 0.000
DFT formation energy in eV/atom: -0.436
E_tot in eV per atom: -3.0203

Ac3Te3H | PBE | relaxed

```
Ac3Te3H
1.0
4.620 -6.453 0.000
4.620 6.453 0.000
-1.516 0.000 7.956
Ac Te H
6 6 2
Direct
0.111 0.111 0.327
0.147 0.452 0.799
0.452 0.147 0.799
0.548 0.853 0.201
0.853 0.548 0.201
0.889 0.889 0.673
0.159 0.841 0.000
0.228 0.772 0.500
0.397 0.397 0.160
0.603 0.603 0.840
0.772 0.228 0.500
0.841 0.159 0.000
0.168 0.168 0.648
0.832 0.832 0.352
```

Properties
Fermi-level density of states in states/eV/f.u.: 4.29
Total magnetization in μB per atom: 0.000
E_tot in eV per atom: -4.7828

K2HoGe2O6 | PBE | relaxed

```
K2HoGe2O6
1.0
5.158 -3.023 0.000
5.158 3.023 0.000
-3.590 0.000 5.916
K Ho Ge O
2 1 2 6
Direct
0.206 0.206 0.169
0.794 0.794 0.831
0.000 0.000 0.500
0.448 0.448 0.781
0.552 0.552 0.219
0.225 0.711 0.242
0.251 0.251 0.642
0.289 0.775 0.758
0.711 0.225 0.242
0.749 0.749 0.358
0.775 0.289 0.758
```

Properties
Fermi-level density of states in states/eV/f.u.: 1.45
Total magnetization in μB per atom: 0.083
E_tot in eV per atom: -6.2005

GdFe10Si2 | PBE | relaxed

```
GdFe10Si2
1.0
-2.372 4.154 4.183
2.372 -4.154 4.183
2.372 4.154 -4.183
Gd Fe Si
1 10 2
Direct
0.000 0.000 0.000
0.000 0.000 0.500
0.000 0.500 0.000
0.211 0.500 0.711
0.355 0.000 0.355
0.361 0.361 0.000
0.500 0.000 0.000
0.500 0.500 0.500
0.639 0.639 0.000
0.645 0.000 0.645
0.789 0.500 0.289
0.236 0.736 0.500
0.764 0.264 0.500
```

Properties
Fermi-level density of states in states/eV/f.u.: 10.26
Total magnetization in μB per atom: 1.033
E_tot in eV per atom: -8.6705

HfH | PBE | relaxed

```
HfH
1.0
8.037 0.000 0.000
0.000 8.037 0.000
0.000 0.000 3.229
Hf H
8 8
Direct
0.055 0.270 0.000
0.245 0.596 0.500
0.270 0.945 0.000
0.404 0.245 0.500
0.596 0.755 0.500
0.730 0.055 0.000
0.755 0.404 0.500
0.945 0.730 0.000
0.115 0.533 0.000
0.182 0.355 0.500
0.355 0.818 0.500
0.467 0.115 0.000
0.533 0.885 0.000
0.645 0.182 0.500
0.818 0.645 0.500
0.885 0.467 0.000
```

Properties
Fermi-level density of states in states/eV/f.u.: 0.71
Total magnetization in μB per atom: 0.000
E_tot in eV per atom: -6.8290

CaAc3LaPm | PBE | relaxed

```
CaAc3LaPm
1.0
1.938 -10.155 0.000
1.938 10.155 0.000
0.000 0.000 12.602
Ca Ac La Pm
2 6 2 2
Direct
0.225 0.775 0.750
0.775 0.225 0.250
0.103 0.897 0.250
0.338 0.662 0.002
0.338 0.662 0.498
0.662 0.338 0.502
0.662 0.338 0.998
0.897 0.103 0.750
0.445 0.555 0.250
0.555 0.445 0.750
0.000 0.000 0.000
0.000 0.000 0.500
```

Properties
Fermi-level density of states in states/eV/f.u.: 8.37
Total magnetization in μB per atom: 0.000
DFT formation energy in eV/atom: 0.029
E_tot in eV per atom: -3.9717